DFT (PBE) results for an optimized crystal structure of Y8Ho2Er.

Lattice parameters (Å, degrees): 9.0243 16.1868 5.8739 90.00 123.65 90.00
With the nearest neighbours (Å) after each atom.
Space group C2/m (No. 12)
Inequivalent atoms, fractional coordinates:
1 Y 0.0000 0.2057 0.0000 [4 per cell]  1 Er 3.33, 2 Ho 3.37, 6 Y 3.59-3.68
2 Y 0.0724 0.5000 0.7938 [4 per cell]  3 Y 2.94-3.22
3 Y 0.2166 0.1183 0.6770 [8 per cell]  5 Y 3.22-3.61, 2 Ho 3.46-3.48
4 Ho 0.0000 0.3081 0.5000 [4 per cell]  8 Y 3.37-3.48
5 Er 0.0000 0.0000 0.0000 [2 per cell]  4 Y 3.33-3.34

## Properties
**Volume**: 714.27 Å³/cell
**Total DFT energy (no corrections)**: -5.786 eV per atom
**Polymorph energy (0 for the lowest one)**: 0 meV/atom
**Theoretical density**: 5.618 Mg/m³

DFT (PBE) results for an optimized crystal structure of ThTlAu2.

Lattice parameters (Å, degrees): 3.7221 3.7221 7.1862 90.00 90.00 90.00
With the nearest neighbours (Å) after each atom.
Space group P4/mmm (No. 123)
Inequivalent atoms, fractional coordinates:
1 Th 0.0000 0.0000 0.0000 [1 per cell]  8 Au 3.14
2 Tl 0.0000 0.0000 0.5000 [1 per cell]  8 Au 3.24, 2 Th 3.59
3 Au 0.5000 0.5000 0.2381 [2 per cell]  4 Th 3.14, 4 Tl 3.24, 1 Au 3.42

## Properties
**Volume**: 99.56 Å³/cell
**Total DFT energy (no corrections)**: -4.464 eV per atom
**Theoretical density**: 13.849 Mg/m³

DFT (PBE) results for an optimized crystal structure of Li6In5Pb.

Lattice parameters (Å, degrees): 8.3418 14.5287 4.8666 90.00 125.07 90.00
With the nearest neighbours (Å) after each atom.
Space group C2/m (No. 12)
Inequivalent atoms, fractional coordinates:
1 Li 0.2466 0.0000 0.2475 [4 per cell]  6 In 2.94-3.02, 2 Pb 2.97-3.00
2 Li 0.2491 0.1674 0.7493 [8 per cell]  7 In 2.91-2.99, 1 Pb 2.97
3 In 0.0000 0.0000 0.5000 [2 per cell]  8 Li 2.94-2.98
4 In 0.0000 0.1663 0.0000 [4 per cell]  8 Li 2.94-2.98
5 In 0.0000 0.3300 0.5000 [4 per cell]  8 Li 2.91-3.02
6 Pb 0.0000 0.5000 0.0000 [2 per cell]  8 Li 2.97-3.00

## Properties
**Volume**: 482.70 Å³/cell
**Total DFT energy (no corrections)**: -2.684 eV per atom
**Theoretical density**: 5.662 Mg/m³

DFT (PBE) results for an optimized crystal structure of BeNbW3.

Lattice parameters (Å, degrees): 4.2897 4.2897 4.2897 90.00 90.00 90.00
With the nearest neighbours (Å) after each atom.
Space group Pm-3m (No. 221)
Inequivalent atoms, fractional coordinates:
1 Be 0.0000 0.0000 0.0000 [1 per cell]  6 W 2.14
2 Nb 0.5000 0.5000 0.5000 [1 per cell]  12 W 3.03
3 W 0.0000 0.0000 0.5000 [3 per cell]  2 Be 2.14

## Properties
**Volume**: 78.94 Å³/cell
**Total DFT energy (no corrections)**: -9.804 eV per atom
**Polymorph energy (0 for the lowest one)**: 0 meV/atom
**Theoretical density**: 13.746 Mg/m³

DFT (PBE) results for an optimized crystal structure of TbMg3Tl2.

Lattice parameters (Å, degrees): 17.1722 4.7833 7.8511 90.00 111.93 90.00
With the nearest neighbours (Å) after each atom.
Space group C2/m (No. 12)
Inequivalent atoms, fractional coordinates:
1 Tb 0.1155 0.0000 0.1765 [4 per cell]  7 Tl 3.31-3.68, 5 Mg 3.45-3.67
2 Mg 0.0710 0.0000 0.7010 [4 per cell]  3 Tl 2.86-3.00, 1 Mg 3.19
3 Mg 0.1294 0.5000 0.5034 [4 per cell]  4 Tl 2.87-3.04, 3 Mg 3.02-3.21
4 Mg 0.1986 0.5000 0.9178 [4 per cell]  2 Tl 2.91-2.99, 3 Mg 2.97-3.02
5 Tl 0.0181 0.5000 0.8272 [4 per cell]  4 Mg 2.86-2.91, 1 Tl 3.00
6 Tl 0.2403 0.0000 0.6728 [4 per cell]  7 Mg 2.99-3.31, 2 Tb 3.33

## Properties
**Volume**: 598.21 Å³/cell
**Total DFT energy (no corrections)**: -2.498 eV per atom
**Theoretical density**: 7.113 Mg/m³

DFT (PBE) results for an optimized crystal structure of Fe2CoSi.

Lattice parameters (Å, degrees): 2.5902 2.5902 23.0435 90.00 90.00 120.00
With the nearest neighbours (Å) after each atom.
Space group R3m (No. 160, hexagonal axes)
Inequivalent atoms, fractional coordinates:
1 Fe 0.0000 0.0000 0.0000 [3 per cell]  3 Co 2.50, 9 Fe 2.50-2.59
2 Fe 0.0000 0.0000 0.2464 [3 per cell]  3 Si 2.38, 9 Fe 2.50-2.59
3 Co 0.0000 0.0000 0.7534 [3 per cell]  3 Si 2.37, 3 Fe 2.50, 6 Co 2.59
4 Si 0.0000 0.0000 0.4996 [3 per cell]  3 Co 2.37, 3 Fe 2.38, 6 Si 2.59

## Properties
**Volume**: 133.89 Å³/cell
**E_form (uncorrected)**: -0.2 eV/f.u.
**Total DFT energy (no corrections)**: -7.422 eV per atom
**Theoretical density**: 7.394 Mg/m³

DFT (PBE) results for an optimized crystal structure of Tl2CdWC.

Lattice parameters (Å, degrees): 5.4848 5.4848 5.4453 90.00 90.00 90.00
With the nearest neighbours (Å) after each atom.
Space group P4/mmm (No. 123)
Inequivalent atoms, fractional coordinates:
1 Tl 0.0000 0.5000 0.0000 [2 per cell]  2 W 2.74
2 Cd 0.0000 0.0000 0.5000 [1 per cell]  2 W 2.72
3 W 0.0000 0.0000 0.0000 [1 per cell]  2 Cd 2.72, 4 Tl 2.74
4 C 0.5000 0.5000 0.5000 [1 per cell]  8 Tl 3.86, 4 Cd 3.88

## Properties
**Volume**: 163.81 Å³/cell
**Total DFT energy (no corrections)**: -3.366 eV per atom
**Theoretical density**: 7.268 Mg/m³

DFT (PBE) results for an optimized crystal structure of Sr3Re4.

Lattice parameters (Å, degrees): 5.9190 5.9190 5.0785 90.00 90.00 120.00
With the nearest neighbours (Å) after each atom.
Space group P6/mmm (No. 191)
Inequivalent atoms, fractional coordinates:
1 Sr 0.0000 0.5000 0.0000 [3 per cell]  4 Sr 2.96, 8 Re 3.06-3.20
2 Re 0.0000 0.0000 0.2393 [2 per cell]  2 Re 2.43-2.65
3 Re 0.3333 0.6667 0.5000 [2 per cell]  6 Sr 3.06, 3 Re 3.42

## Properties
**Volume**: 154.08 Å³/cell
**Total DFT energy (no corrections)**: -5.844 eV per atom
**Theoretical density**: 10.860 Mg/m³